VASP calculation (PBE) on a relaxed CaMnCo2 crystal.

The structure in CIF format:
```
data_CaMnCo2
_symmetry_space_group_name_H-M 'I m m m'
_symmetry_Int_Tables_number 71
_symmetry_space_group_name_Hall '-I 2 2'
_cell_length_a 3.2011
_cell_length_b 4.6096
_cell_length_c 8.4447
_cell_angle_alpha 90.00
_cell_angle_beta 90.00
_cell_angle_gamma 90.00
loop_
_atom_site_label
_atom_site_type_symbol
_atom_site_fract_x
_atom_site_fract_y
_atom_site_fract_z
_atom_site_occupancy
Ca1 Ca 0.0000 0.0000 0.0000 1
Mn1 Mn 0.0000 0.0000 0.5000 1
Co1 Co 0.0000 0.5000 0.2301 1
```

## Properties
The volume is 15.58 Å³/atom. The value obtained for the magnetization is 1.579 μB per atom. The calculated formation energy is 0.5312 eV/atom. The crystal system is orthorhombic.

VASP calculation (PBE) on a relaxed PrSm2Er3Te6 crystal.

The structure in CIF format:
```
data_PrSm2Er3Te6
_symmetry_space_group_name_H-M 'C 1 2/m 1'
_symmetry_Int_Tables_number 12
_cell_length_a 19.3082
_cell_length_b 4.3428
_cell_length_c 8.9084
_cell_angle_alpha 90.00
_cell_angle_beta 105.12
_cell_angle_gamma 90.00
loop_
_symmetry_equiv_pos_as_xyz
'x,y,z'
'-x,-y,-z'
'-x,y,-z'
'x,-y,z'
'x+1/2,y+1/2,z'
'-x+1/2,-y+1/2,-z'
'-x+1/2,y+1/2,-z'
'x+1/2,-y+1/2,z'
loop_
_atom_site_label
_atom_site_type_symbol
_atom_site_fract_x
_atom_site_fract_y
_atom_site_fract_z
_atom_site_occupancy
Pr1 Pr 0.0000 0.0000 0.0000 1
Sm1 Sm 0.1653 0.5000 0.3303 1
Er1 Er 0.0000 0.0000 0.5000 1
Er2 Er 0.1645 0.5000 0.8318 1
Te1 Te 0.0021 0.5000 0.7389 1
Te2 Te 0.1648 0.0000 0.5886 1
Te3 Te 0.1717 0.0000 0.0773 1
```

## Properties
The volume is 30.05 Å³/atom. The value obtained for the magnetization is 0.000 μB per atom. The crystal system is monoclinic. For the formation energy (no corrections), the calculation gives -1312 meV/atom.

VASP calculation (PBE) on a relaxed K2PaCu3Cl12 crystal.

The structure in CIF format:
```
data_K2PaCu3Cl12
_symmetry_space_group_name_H-M 'R -3 m'
_symmetry_Int_Tables_number 166
_symmetry_space_group_name_Hall '-R 3 2"'
_cell_length_a 8.4207
_cell_length_b 8.4207
_cell_length_c 29.5541
_cell_angle_alpha 90.00
_cell_angle_beta 90.00
_cell_angle_gamma 120.00
loop_
_atom_site_label
_atom_site_type_symbol
_atom_site_fract_x
_atom_site_fract_y
_atom_site_fract_z
_atom_site_occupancy
K1 K 0.0000 0.0000 0.0695 1
Pa1 Pa 0.0000 0.0000 0.5000 1
Cu1 Cu 0.0000 0.5000 0.0000 1
Cl1 Cl 0.0454 0.5227 0.1170 1
Cl2 Cl 0.0675 0.5337 0.3530 1
```

## Properties
The volume is 33.61 Å³/atom. The value obtained for the magnetization is 0.000 μB per atom. The crystal system is trigonal. For the formation energy (no corrections), the calculation gives -1259 meV/atom.

It is found that the calculated density values, taken in the order of the records, are 5.7, 7.9, 2.5 Mg/m³.